Density functional theory data (PBE) for a geometry-optimized CsNpVBr6 structure.

The structure in extended XYZ format:
```
9
Lattice="7.093 0.000 0.000 -3.547 6.143 0.000 0.000 0.000 8.387" Properties=species:S:1:pos:R:3 pbc="T T T"
Cs 0.000 0.000 0.000
Np 0.000 4.095 4.194
V 3.547 2.048 4.194
Br 2.576 0.162 2.589
Br 1.428 2.149 5.798
Br 4.517 0.162 5.798
Br 2.399 3.831 2.589
Br 5.665 2.149 2.589
Br 4.694 3.831 5.798
```

Output
Fermi-level density of states: 0.6520 states/eV per atom
Crystal system: trigonal
Energy: -4.9310 eV per atom